Record 1
# Dy3Al3Cu2Pd

A relaxed structure of Dy3Al3Cu2Pd (GGA-PBE, OQMD).

a = 7.1403 Å, b = 7.1403 Å, c = 3.9552 Å
α = 90.00°, β = 90.00°, γ = 120.00°
Sites, in units of the cell vectors:
Dy1 0.0000 0.5803 0.0000
Dy2 0.4197 0.4197 0.0000
Dy3 0.5803 0.0000 0.0000
Al1 0.0000 0.2426 0.5000
Al2 0.2426 0.0000 0.5000
Al3 0.7574 0.7574 0.5000
Cu1 0.3333 0.6667 0.5000
Cu2 0.6667 0.3333 0.5000
Pd1 0.0000 0.0000 0.0000

DFT total energy   -4.77 eV per atom
SG   P-62m, No. 189


Record 2
# Dy2TmAl3Cu2Pd

A relaxed structure of Dy2TmAl3Cu2Pd (GGA-PBE, OQMD).

a = 4.0575 Å, b = 7.0169 Å, c = 7.0169 Å
α = 120.09°, β = 90.00°, γ = 90.00°
Sites, in units of the cell vectors:
Dy1 0.0000 0.2094 0.7906
Dy2 0.0000 0.7906 0.2094
Tm1 0.0000 0.3714 0.3714
Al1 0.5000 0.0297 0.0297
Al2 0.5000 0.5499 0.7888
Al3 0.5000 0.7888 0.5499
Cu1 0.5000 0.1259 0.4554
Cu2 0.5000 0.4554 0.1259
Pd1 0.0000 0.7869 0.7869

DFT total energy   -4.75 eV per atom
SG   Amm2, No. 38


Which formula does entry 2 have?
Dy2TmAl3Cu2Pd


Please write out number 1 again, unchanged.
# Dy3Al3Cu2Pd

A relaxed structure of Dy3Al3Cu2Pd (GGA-PBE, OQMD).

a = 7.1403 Å, b = 7.1403 Å, c = 3.9552 Å
α = 90.00°, β = 90.00°, γ = 120.00°
Sites, in units of the cell vectors:
Dy1 0.0000 0.5803 0.0000
Dy2 0.4197 0.4197 0.0000
Dy3 0.5803 0.0000 0.0000
Al1 0.0000 0.2426 0.5000
Al2 0.2426 0.0000 0.5000
Al3 0.7574 0.7574 0.5000
Cu1 0.3333 0.6667 0.5000
Cu2 0.6667 0.3333 0.5000
Pd1 0.0000 0.0000 0.0000

DFT total energy   -4.77 eV per atom
SG   P-62m, No. 189